[1]
DFT (PBE) results for a relaxed BaNiAs2 crystal.

## Properties
E, eV/f.u.: -16.38
Total magnetization, μB/f.u.: 0.000

Structure (extended XYZ):
```
4
Lattice="-2.323 2.323 4.241 2.323 -2.323 4.241 2.323 2.323 -4.241" Properties=species:S:1:pos:R:3 pbc="T T T"
Ba 0.000 0.000 0.000
Ni 2.323 0.000 2.120
As 0.000 0.000 4.241
As 0.000 2.323 2.120
```

---

[2]
DFT (PBE) results for a relaxed BaNi2As crystal.

## Properties
E, eV/f.u.: -16.56
Total magnetization, μB/f.u.: 0.000

Structure (extended XYZ):
```
4
Lattice="-2.099 2.099 4.610 2.099 -2.099 4.610 2.099 2.099 -4.610" Properties=species:S:1:pos:R:3 pbc="T T T"
Ba 0.000 0.000 0.000
Ni 2.099 0.000 2.305
Ni 0.000 0.000 4.610
As 0.000 2.099 2.305
```

---

[3]
DFT (PBE) results for a relaxed Ba2NiAs2 crystal.

## Properties
E, eV/f.u.: -23.06
Total magnetization, μB/f.u.: 0.000

Structure (extended XYZ):
```
10
Lattice="6.071 -2.111 0.000 6.071 2.111 0.000 -3.522 0.000 11.035" Properties=species:S:1:pos:R:3 pbc="T T T"
Ba -0.352 0.000 4.429
Ba 0.676 0.000 9.563
Ba 7.945 0.000 1.472
Ba 8.973 0.000 6.607
Ni 4.572 0.000 1.992
Ni 4.049 0.000 9.044
As -2.695 0.000 9.949
As 3.079 0.000 3.796
As 5.543 0.000 7.239
As 11.316 0.000 1.086
```

---

[4]
DFT (PBE) results for a relaxed BaNiAs3 crystal.

## Properties
E above lowest polymorph, meV/atom: 0.0
E, eV/f.u.: -22.89
Total magnetization, μB/f.u.: 0.000

Structure (extended XYZ):
```
5
Lattice="4.865 0.000 0.000 0.000 4.865 0.000 0.000 0.000 4.865" Properties=species:S:1:pos:R:3 pbc="T T T"
Ba 0.000 0.000 0.000
Ni 2.432 2.432 2.432
As 0.000 2.432 2.432
As 2.432 0.000 2.432
As 2.432 2.432 0.000
```

---

Number 1: N(E_F) 3.49 states/eV/cell. Number 2: N(E_F) 3.67 states/eV/cell. Number 3: N(E_F) 6.02 states/eV/cell. Number 4: N(E_F) 3.88 states/eV/cell.